# CsWS2O8 (PBE+U, optimized geometry)
data_CsWS2O8
_chemical_formula_sum 'Cs1 W1 S2 O8'
_cell_length_a 5.086
_cell_length_b 5.086
_cell_length_c 8.919
_cell_angle_alpha 85.43
_cell_angle_beta 85.43
_cell_angle_gamma 63.93
_space_group_name_H-M_alt 'P 1'
_space_group_IT_number 1
loop_
_space_group_symop_operation_xyz
'x,y,z'
loop_
_atom_site_label
_atom_site_fract_x
_atom_site_fract_y
_atom_site_fract_z
Cs1 0.000 0.000 0.500
W1 0.000 0.000 0.000
S1 0.628 0.628 0.190
S2 0.372 0.372 0.810
O1 0.698 0.247 0.826
O2 0.753 0.753 0.064
O3 0.683 0.683 0.339
O4 0.317 0.317 0.661
O5 0.247 0.247 0.936
O6 0.247 0.698 0.826
O7 0.753 0.302 0.174
O8 0.302 0.753 0.174
# SG: C2/m, No. 12
# Electronic total energy, eV/cell: -75.72
# Fermi-level density of states, states/eV per cell: 0.0